Version P
Density functional theory data (PBE) for Cu2Pd8Au after structural relaxation.

Unit cell a=4.5063 b=9.0561 c=9.0561 alpha=34.10 beta=60.50 gamma=60.50
With the nearest neighbours (Å) after each atom.
Fractional coordinates of all 11 atoms:
Au 0.0000 0.0000 0.0000  2 Cu 2.60
Cu 0.3584 0.8250 0.8250  5 Pd 2.53-2.77, 1 Au 2.60
Cu 0.6416 0.1750 0.1750  5 Pd 2.53-2.77, 1 Au 2.60
Pd 0.3243 0.8425 0.3348  7 Pd 2.61-2.77, 1 Cu 2.86, 2 Au 2.92
Pd 0.6757 0.6652 0.1575  7 Pd 2.61-2.77, 1 Cu 2.86, 2 Au 2.92
Pd 0.6757 0.1575 0.6652  7 Pd 2.61-2.77, 1 Cu 2.86, 2 Au 2.92
Pd 0.9853 0.2532 0.2532  2 Cu 2.53-2.54, 8 Pd 2.66-2.78
Pd 0.3243 0.3348 0.8425  7 Pd 2.61-2.77, 1 Cu 2.86, 2 Au 2.92
Pd 0.2726 0.3617 0.3617  3 Cu 2.71-2.77, 6 Pd 2.72-2.78
Pd 0.7274 0.6383 0.6383  3 Cu 2.71-2.77, 6 Pd 2.72-2.78
Pd 0.0147 0.7468 0.7468  2 Cu 2.53-2.54, 8 Pd 2.66-2.78

## Properties
For the total magnetic moment, the calculation gives 0.0 μB per formula unit.



Version Q
Density functional theory data (PBE) for Cu2Pd8Au after structural relaxation.

Unit cell a=4.0805 b=6.9561 c=7.2684 alpha=118.59 beta=106.30 gamma=90.00
With the nearest neighbours (Å) after each atom.
Fractional coordinates of all 11 atoms:
Cu 0.1920 0.6920 0.3841  10 Pd 2.58-2.75
Cu 0.8080 0.3080 0.6159  10 Pd 2.58-2.75
Pd 0.8450 0.8450 0.6901  8 Pd 2.71-2.82, 2 Cu 2.75, 2 Au 2.77
Pd 0.1550 0.1550 0.3099  8 Pd 2.71-2.82, 2 Cu 2.75, 2 Au 2.77
Pd 0.3400 0.1207 0.6800  3 Cu 2.58-2.65, 5 Pd 2.71-2.82, 1 Au 2.75
Pd 0.0000 0.3038 0.0000  2 Cu 2.69, 7 Pd 2.73-2.82, 2 Au 2.94
Pd 0.6600 0.4407 0.3200  3 Cu 2.58-2.65, 5 Pd 2.71-2.82, 1 Au 2.75
Pd 0.6600 0.8793 0.3200  3 Cu 2.58-2.65, 5 Pd 2.71-2.82, 1 Au 2.75
Pd 0.3400 0.5593 0.6800  3 Cu 2.58-2.65, 5 Pd 2.71-2.82, 1 Au 2.75
Pd 0.0000 0.6962 0.0000  2 Cu 2.69, 7 Pd 2.73-2.82, 2 Au 2.94
Au 0.5000 0.0000 0.0000  12 Pd 2.75-2.94

## Properties
For the total magnetic moment, the calculation gives 0.0 μB per formula unit.



Energy ordering: version Q at the bottom, the next structure 0.093 eV/atom above.



Version P
Density functional theory data (PBE) for Cu2Pd3Au5 after structural relaxation.

Unit cell a=8.8228 b=7.7725 c=8.6891 alpha=127.97 beta=130.97 gamma=70.68
With the nearest neighbours (Å) after each atom.
Fractional coordinates of all 20 atoms:
Cu 0.1271 0.1144 0.2482  3 Pd 2.59, 3 Au 2.60-2.61, 1 Cu 2.70
Cu 0.8729 0.8856 0.7518  3 Pd 2.59, 3 Au 2.60-2.61, 1 Cu 2.70
Cu 0.6211 0.1338 0.2482  3 Pd 2.59, 3 Au 2.60-2.61, 1 Cu 2.70
Cu 0.3789 0.8662 0.7518  3 Pd 2.59, 3 Au 2.60-2.61, 1 Cu 2.70
Au 0.4974 0.7474 0.4949  2 Cu 2.61, 3 Au 2.69-2.81, 3 Pd 2.75-2.85
Au 0.0003 0.2503 0.5006  2 Cu 2.60, 5 Pd 2.72-2.89, 3 Au 2.72-2.88
Au 0.2502 0.5002 0.0005  4 Au 2.69-2.91, 4 Pd 2.95-2.98
Au 0.5801 0.8215 0.2557  1 Cu 2.61, 3 Pd 2.77-2.84, 3 Au 2.81-2.91
Au 0.7498 0.4998 0.9995  4 Au 2.69-2.91, 4 Pd 2.95-2.98
Au 0.5026 0.2526 0.5051  2 Cu 2.61, 3 Au 2.69-2.81, 3 Pd 2.75-2.85
Au 0.9997 0.7497 0.4994  2 Cu 2.60, 5 Pd 2.72-2.89, 3 Au 2.72-2.88
Au 0.8245 0.5659 0.7443  1 Cu 2.61, 3 Pd 2.77-2.84, 3 Au 2.81-2.91
Au 0.1755 0.4341 0.2557  1 Cu 2.61, 3 Pd 2.77-2.84, 3 Au 2.81-2.91
Au 0.4199 0.1785 0.7443  1 Cu 2.61, 3 Pd 2.77-2.84, 3 Au 2.81-2.91
Pd 0.0819 0.8169 0.2668  1 Cu 2.59, 5 Au 2.77-2.89, 1 Pd 2.89
Pd 0.7504 0.0004 0.0009  4 Cu 2.59, 4 Au 2.72-2.83, 2 Pd 2.89
Pd 0.9181 0.1831 0.7332  1 Cu 2.59, 5 Au 2.77-2.89, 1 Pd 2.89
Pd 0.6850 0.4499 0.2668  1 Cu 2.59, 5 Au 2.77-2.89, 1 Pd 2.89
Pd 0.2496 0.9996 0.9991  4 Cu 2.59, 4 Au 2.72-2.83, 2 Pd 2.89
Pd 0.3150 0.5501 0.7332  1 Cu 2.59, 5 Au 2.77-2.89, 1 Pd 2.89

## Properties
For the total magnetic moment, the calculation gives 0.0 μB per formula unit.



Version Q
Density functional theory data (PBE) for Cu2Pd3Au5 after structural relaxation.

Unit cell a=5.5337 b=8.7462 c=8.7462 alpha=92.17 beta=71.56 gamma=71.56
With the nearest neighbours (Å) after each atom.
Fractional coordinates of all 20 atoms:
Au 0.7500 0.5000 0.5000  8 Au 2.74-2.89
Au 0.9959 0.7541 0.7541  1 Pd 2.65, 2 Cu 2.66, 5 Au 2.74-2.87
Au 0.3708 0.7972 0.4611  1 Cu 2.44
Au 0.1292 0.5389 0.2028  1 Cu 2.44
Au 0.0041 0.2459 0.2459  1 Pd 2.65, 2 Cu 2.66, 5 Au 2.74-2.87
Au 0.2500 0.5000 0.5000  8 Au 2.74-2.89
Au 0.5041 0.2459 0.2459  1 Pd 2.65, 2 Cu 2.66, 5 Au 2.74-2.87
Au 0.4959 0.7541 0.7541  1 Pd 2.65, 2 Cu 2.66, 5 Au 2.74-2.87
Au 0.6292 0.2028 0.5389  1 Cu 2.44
Au 0.8708 0.4611 0.7972  1 Cu 2.44
Pd 0.6478 0.5408 0.1637  1 Cu 2.67, 4 Au 2.79-2.98
Pd 0.7500 0.0000 0.0000  4 Cu 2.53, 2 Au 2.65, 2 Pd 2.77
Pd 0.3522 0.4592 0.8363  1 Cu 2.67, 4 Au 2.79-2.98
Pd 0.2500 0.0000 0.0000  4 Cu 2.53, 2 Au 2.65, 2 Pd 2.77
Pd 0.1478 0.1637 0.5408  1 Cu 2.67, 4 Au 2.79-2.98
Pd 0.8522 0.8363 0.4592  1 Cu 2.67, 4 Au 2.79-2.98
Cu 0.8885 0.2500 0.9730  3 Au 2.44-2.66, 3 Pd 2.53-2.67
Cu 0.3885 0.9730 0.2500  3 Au 2.44-2.66, 3 Pd 2.53-2.67
Cu 0.1115 0.7500 0.0270  3 Au 2.44-2.66, 3 Pd 2.53-2.67
Cu 0.6115 0.0270 0.7500  3 Au 2.44-2.66, 3 Pd 2.53-2.67

## Properties
For the total magnetic moment, the calculation gives 0.0 μB per formula unit.



Energy ordering: version P at the bottom, the next structure 0.181 eV/atom above.



Version P
Density functional theory data (PBE) for Cu6Pd3Au after structural relaxation.

Unit cell a=2.7128 b=10.8949 c=10.4241 alpha=113.10 beta=90.00 gamma=90.00
With the nearest neighbours (Å) after each atom.
Fractional coordinates of all 20 atoms:
Pd 0.2500 0.3518 0.6103  7 Cu 2.53-2.80, 2 Pd 2.71
Pd 0.7500 0.6482 0.3897  7 Cu 2.53-2.80, 2 Pd 2.71
Pd 0.2500 0.4694 0.1064  6 Cu 2.61-2.78, 4 Pd 2.71-2.89
Pd 0.7500 0.0659 0.1230  6 Cu 2.53-2.70, 4 Pd 2.71-2.75
Pd 0.7500 0.5306 0.8936  6 Cu 2.61-2.78, 4 Pd 2.71-2.89
Pd 0.2500 0.9341 0.8770  6 Cu 2.53-2.70, 4 Pd 2.71-2.75
Au 0.2500 0.9258 0.2700  8 Cu 2.62-2.83, 2 Au 2.71, 2 Pd 2.89
Au 0.7500 0.0742 0.7300  8 Cu 2.62-2.83, 2 Au 2.71, 2 Pd 2.89
Cu 0.7500 0.7944 0.6532  7 Cu 2.48-2.71, 3 Pd 2.58-2.61
Cu 0.7500 0.6915 0.1681  1 Cu 2.41, 3 Pd 2.53-2.62
Cu 0.7500 0.3171 0.1996  6 Cu 2.40-2.67, 3 Pd 2.53-2.61
Cu 0.2500 0.8872 0.5028  6 Cu 2.56-2.83, 3 Au 2.62-2.80, 2 Pd 2.76
Cu 0.2500 0.6829 0.8004  6 Cu 2.40-2.67, 3 Pd 2.53-2.61
Cu 0.2500 0.2056 0.3468  7 Cu 2.48-2.71, 3 Pd 2.58-2.61
Cu 0.7500 0.1128 0.4972  6 Cu 2.56-2.83, 3 Au 2.62-2.80, 2 Pd 2.76
Cu 0.2500 0.4473 0.3966  5 Cu 2.40-2.48, 2 Pd 2.60
Cu 0.2500 0.1924 0.9873  3 Cu 2.41-2.49, 3 Pd 2.59-2.70
Cu 0.7500 0.5527 0.6034  5 Cu 2.40-2.48, 2 Pd 2.60
Cu 0.2500 0.3085 0.8319  1 Cu 2.41, 3 Pd 2.53-2.62
Cu 0.7500 0.8076 0.0127  3 Cu 2.41-2.49, 3 Pd 2.59-2.70

## Properties
For the total magnetic moment, the calculation gives 0.0 μB per formula unit.



Version Q
Density functional theory data (PBE) for Cu6Pd3Au after structural relaxation.

Unit cell a=3.8953 b=8.2001 c=8.5899 alpha=93.48 beta=90.00 gamma=90.00
With the nearest neighbours (Å) after each atom.
Fractional coordinates of all 20 atoms:
Cu 0.7500 0.5501 0.8982  5 Cu 2.62-2.78, 7 Pd 2.64-2.71
Cu 0.7500 0.8467 0.8015  8 Cu 2.59-2.69, 2 Pd 2.68, 2 Au 2.71
Cu 0.2500 0.6452 0.7007  5 Pd 2.59-2.66, 1 Au 2.63, 6 Cu 2.66-2.76
Cu 0.2500 0.2543 0.4994  4 Pd 2.63-2.68, 5 Cu 2.67-2.82, 3 Au 2.67-2.75
Cu 0.7500 0.1491 0.7090  4 Pd 2.64-2.67, 5 Cu 2.65-2.82, 3 Au 2.67-2.79
Cu 0.7500 0.7457 0.5006  4 Pd 2.63-2.68, 5 Cu 2.67-2.82, 3 Au 2.67-2.75
Cu 0.2500 0.0499 0.9073  4 Pd 2.58-2.65, 7 Cu 2.59-2.74, 1 Au 2.66
Cu 0.7500 0.3548 0.2993  5 Pd 2.59-2.66, 1 Au 2.63, 6 Cu 2.66-2.76
Cu 0.2500 0.8509 0.2910  4 Pd 2.64-2.67, 5 Cu 2.65-2.82, 3 Au 2.67-2.79
Cu 0.2500 0.4499 0.1018  5 Cu 2.62-2.78, 7 Pd 2.64-2.71
Cu 0.2500 0.1533 0.1985  8 Cu 2.59-2.69, 2 Pd 2.68, 2 Au 2.71
Cu 0.7500 0.9501 0.0927  4 Pd 2.58-2.65, 7 Cu 2.59-2.74, 1 Au 2.66
Pd 0.7500 0.6522 0.1957  8 Cu 2.64-2.68, 4 Pd 2.77-2.79
Pd 0.7500 0.4478 0.6010  8 Cu 2.63-2.67, 4 Pd 2.77-2.78
Pd 0.7500 0.2478 0.0099  10 Cu 2.58-2.71, 2 Pd 2.79
Pd 0.2500 0.7522 0.9901  10 Cu 2.58-2.71, 2 Pd 2.79
Pd 0.2500 0.3478 0.8043  8 Cu 2.64-2.68, 4 Pd 2.77-2.79
Pd 0.2500 0.5522 0.3990  8 Cu 2.63-2.67, 4 Pd 2.77-2.78
Au 0.7500 0.0544 0.3915  10 Cu 2.63-2.79, 2 Au 2.88
Au 0.2500 0.9456 0.6085  10 Cu 2.63-2.79, 2 Au 2.88

## Properties
For the total magnetic moment, the calculation gives 0.0 μB per formula unit.



Energy ordering: version Q at the bottom, the next structure 0.124 eV/atom above.